Entry 1:
# Ac2AlSi4Ni3 (PBE, relaxed)
# Density of states at the Fermi level: 3.59 states/eV/f.u.
# ΔE_f (raw): -62.82 kJ per mole of atoms
# Total moment: 0.000 μB/f.u.
# E: -57.51 eV per cell
data_Ac2AlSi4Ni3
_chemical_formula_sum 'Ac2 Al1 Si4 Ni3'
_cell_length_a 4.173
_cell_length_b 4.173
_cell_length_c 10.251
_cell_angle_alpha 90.00
_cell_angle_beta 90.00
_cell_angle_gamma 90.00
_space_group_name_H-M_alt 'P -4 m 2'
_space_group_IT_number 115
loop_
_space_group_symop_operation_xyz
'x,y,z'
'y,-x,-z'
'-x,-y,z'
'-y,x,-z'
'-x,y,z'
'-y,-x,-z'
'x,-y,z'
'y,x,-z'
loop_
_atom_site_label
_atom_site_type_symbol
_atom_site_fract_x
_atom_site_fract_y
_atom_site_fract_z
Ac1 Ac 0.000 0.500 0.241
Al1 Al 0.000 0.000 0.500
Si1 Si 0.000 0.000 0.000
Si2 Si 0.000 0.500 0.640
Si3 Si 0.500 0.500 0.000
Ni1 Ni 0.000 0.500 0.885
Ni2 Ni 0.500 0.500 0.500


Entry 2:
# AcAl3ZnNi (PBE, relaxed)
# Density of states at the Fermi level: 1.83 states/eV/f.u.
# Total moment: 0.000 μB/f.u.
# E: -95.46 eV per cell
data_AcAl3ZnNi
_chemical_formula_sum 'Ac4 Al12 Zn4 Ni4'
_cell_length_a 6.182
_cell_length_b 12.901
_cell_length_c 6.030
_cell_angle_alpha 90.00
_cell_angle_beta 90.00
_cell_angle_gamma 90.00
_space_group_name_H-M_alt 'C m c m'
_space_group_IT_number 63
_space_group_name_Hall '-C 2c 2'
loop_
_atom_site_label
_atom_site_type_symbol
_atom_site_fract_x
_atom_site_fract_y
_atom_site_fract_z
Ac1 Ac 0.000 0.227 0.250
Al1 Al 0.000 0.370 0.750
Al2 Al 0.216 0.000 0.000
Zn1 Zn 0.000 0.145 0.750
Ni1 Ni 0.000 0.442 0.250


Entry 3:
# Ac2AlZnNi6 (PBE, relaxed)
# Density of states at the Fermi level: 3.94 states/eV/f.u.
# Total moment: 0.000 μB/f.u.
# E: -51.22 eV per cell
data_Ac2AlZnNi6
_chemical_formula_sum 'Ac2 Al1 Zn1 Ni6'
_cell_length_a 5.096
_cell_length_b 6.431
_cell_length_c 6.489
_cell_angle_alpha 78.79
_cell_angle_beta 66.88
_cell_angle_gamma 66.66
_space_group_name_H-M_alt 'P -1'
_space_group_IT_number 2
loop_
_space_group_symop_operation_xyz
'x,y,z'
'-x,-y,-z'
loop_
_atom_site_label
_atom_site_type_symbol
_atom_site_fract_x
_atom_site_fract_y
_atom_site_fract_z
Ac1 Ac 0.245 0.204 0.305
Al1 Al 0.000 0.000 0.000
Zn1 Zn 0.500 0.500 0.500
Ni1 Ni 0.229 0.270 0.780
Ni2 Ni 0.250 0.582 0.919
Ni3 Ni 0.278 0.730 0.221


Entry 4:
# AcAlZnNi3 (PBE, relaxed)
# Density of states at the Fermi level: 5.43 states/eV/f.u.
# Total moment: 0.000 μB/f.u.
# E: -109.84 eV per cell
data_AcAlZnNi3
_chemical_formula_sum 'Ac4 Al4 Zn4 Ni12'
_cell_length_a 6.106
_cell_length_b 12.420
_cell_length_c 5.649
_cell_angle_alpha 90.00
_cell_angle_beta 90.00
_cell_angle_gamma 90.00
_space_group_name_H-M_alt 'C m c m'
_space_group_IT_number 63
_space_group_name_Hall '-C 2c 2'
loop_
_atom_site_label
_atom_site_type_symbol
_atom_site_fract_x
_atom_site_fract_y
_atom_site_fract_z
Ac1 Ac 0.000 0.214 0.250
Al1 Al 0.000 0.475 0.250
Zn1 Zn 0.000 0.133 0.750
Ni1 Ni 0.000 0.334 0.750
Ni2 Ni 0.197 0.000 0.000


Entry 5:
# Ac2AlZn6Ni (PBE, relaxed)
# Density of states at the Fermi level: 5.26 states/eV/f.u.
# Total moment: 0.000 μB/f.u.
# E: -27.91 eV per cell
data_Ac2AlZn6Ni
_chemical_formula_sum 'Ac2 Al1 Zn6 Ni1'
_cell_length_a 6.473
_cell_length_b 6.490
_cell_length_c 6.873
_cell_angle_alpha 89.88
_cell_angle_beta 61.96
_cell_angle_gamma 60.09
_space_group_name_H-M_alt 'P -1'
_space_group_IT_number 2
loop_
_space_group_symop_operation_xyz
'x,y,z'
'-x,-y,-z'
loop_
_atom_site_label
_atom_site_type_symbol
_atom_site_fract_x
_atom_site_fract_y
_atom_site_fract_z
Ac1 Ac 0.083 0.209 0.128
Al1 Al 0.500 0.500 0.000
Zn1 Zn 0.013 0.243 0.646
Zn2 Zn 0.401 0.342 0.355
Zn3 Zn 0.403 0.755 0.355
Ni1 Ni 0.500 0.000 0.500


Entry 6:
# Ac2NpAlO8 (PBE, relaxed)
# Density of states at the Fermi level: 7.68 states/eV/f.u.
# ΔE_f (raw): -251.89 kJ per mole of atoms
# Total moment: 0.680 μB/f.u.
# E: -95.89 eV per cell
data_Ac2NpAlO8
_chemical_formula_sum 'Ac2 Np1 Al1 O8'
_cell_length_a 6.9297
_cell_length_b 6.9297
_cell_length_c 5.1626
_cell_angle_alpha 90.00
_cell_angle_beta 90.00
_cell_angle_gamma 120.00
_space_group_name_H-M_alt 'P -3 m 1'
_space_group_IT_number 164
_space_group_name_Hall '-P 3 2"'
loop_
_atom_site_label
_atom_site_type_symbol
_atom_site_fract_x
_atom_site_fract_y
_atom_site_fract_z
Ac1 Ac 0.3333 0.6667 0.2487
Np1 Np 0.0000 0.0000 0.5000
Al1 Al 0.0000 0.0000 0.0000
O1 O 0.1251 0.2502 0.2312
O2 O 0.3333 0.6667 0.6870


Entry 7:
# Ac2NpAlO6 (PBE, relaxed)
# Density of states at the Fermi level: 7.08 states/eV/f.u.
# ΔE_f (raw): -287.42 kJ per mole of atoms
# Total moment: 4.000 μB/f.u.
# E: -84.44 eV per cell
data_Ac2NpAlO6
_chemical_formula_sum 'Ac2 Np1 Al1 O6'
_cell_length_a 5.543
_cell_length_b 5.543
_cell_length_c 5.119
_cell_angle_alpha 90.00
_cell_angle_beta 90.00
_cell_angle_gamma 90.00
_space_group_name_H-M_alt 'P 4 m m'
_space_group_IT_number 99
loop_
_space_group_symop_operation_xyz
'x,y,z'
'-y,x,z'
'-x,-y,z'
'y,-x,z'
'-x,y,z'
'y,x,z'
'x,-y,z'
'-y,-x,z'
loop_
_atom_site_label
_atom_site_type_symbol
_atom_site_fract_x
_atom_site_fract_y
_atom_site_fract_z
Ac1 Ac 0.000 0.500 0.000
Np1 Np 0.000 0.000 0.527
Al1 Al 0.500 0.500 0.568
O1 O 0.000 0.000 0.101
O2 O 0.268 0.268 0.686
O3 O 0.500 0.500 0.213


Entry 8:
# Ac2NpAlS6 (PBE, relaxed)
# Density of states at the Fermi level: 9.95 states/eV/f.u.
# ΔE_f (raw): -155.37 kJ per mole of atoms
# Total moment: 4.001 μB/f.u.
# E: -131.54 eV per cell
data_Ac2NpAlS6
_chemical_formula_sum 'Ac4 Np2 Al2 S12'
_cell_length_a 11.979
_cell_length_b 6.886
_cell_length_c 7.133
_cell_angle_alpha 90.00
_cell_angle_beta 123.78
_cell_angle_gamma 90.00
_space_group_name_H-M_alt 'C 1 2/m 1'
_space_group_IT_number 12
loop_
_space_group_symop_operation_xyz
'x,y,z'
'-x,-y,-z'
'-x,y,-z'
'x,-y,z'
'x+1/2,y+1/2,z'
'-x+1/2,-y+1/2,-z'
'-x+1/2,y+1/2,-z'
'x+1/2,-y+1/2,z'
loop_
_atom_site_label
_atom_site_type_symbol
_atom_site_fract_x
_atom_site_fract_y
_atom_site_fract_z
Ac1 Ac 0.244 0.000 0.223
Np1 Np 0.000 0.000 0.500
Al1 Al 0.000 0.500 0.000
S1 S 0.059 0.260 0.827
S2 S 0.235 0.500 0.338


Entry 9:
# Ac4Al2O (PBE, relaxed)
# Density of states at the Fermi level: 4.42 states/eV/f.u.
# ΔE_f (raw): -80.30 kJ per mole of atoms
# Total moment: 0.000 μB/f.u.
# E: -69.41 eV per cell
data_Ac4Al2O
_chemical_formula_sum 'Ac8 Al4 O2'
_cell_length_a 5.080
_cell_length_b 5.080
_cell_length_c 17.637
_cell_angle_alpha 90.00
_cell_angle_beta 90.00
_cell_angle_gamma 90.00
_space_group_name_H-M_alt 'I 4/m m m'
_space_group_IT_number 139
_space_group_name_Hall '-I 4 2'
loop_
_atom_site_label
_atom_site_type_symbol
_atom_site_fract_x
_atom_site_fract_y
_atom_site_fract_z
Ac1 Ac 0.000 0.000 0.180
Ac2 Ac 0.000 0.500 0.000
Al1 Al 0.000 0.000 0.366
O1 O 0.000 0.000 0.000


Entry 10:
# AcAl2O4 (PBE, relaxed)
# Density of states at the Fermi level: 0.74 states/eV/f.u.
# ΔE_f (raw): -261.20 kJ per mole of atoms
# Energy relative to the lowest polymorph listed for this composition: 76 meV per atom
# Total moment: 0.000 μB/f.u.
# E: -201.51 eV per cell
data_AcAl2O4
_chemical_formula_sum 'Ac4 Al8 O16'
_cell_length_a 7.236
_cell_length_b 7.236
_cell_length_c 7.944
_cell_angle_alpha 90.00
_cell_angle_beta 90.00
_cell_angle_gamma 90.00
_space_group_name_H-M_alt 'I -4 2 d'
_space_group_IT_number 122
_space_group_name_Hall 'I -4 2bw'
loop_
_atom_site_label
_atom_site_type_symbol
_atom_site_fract_x
_atom_site_fract_y
_atom_site_fract_z
Ac1 Ac 0.000 0.000 0.000
Al1 Al 0.082 0.250 0.625
O1 O 0.068 0.746 0.811


Entry 11:
# AcAlO3 (PBE, relaxed)
# Density of states at the Fermi level: 0.00 states/eV/f.u.
# ΔE_f (raw): -315.93 kJ per mole of atoms
# Total moment: 0.000 μB/f.u.
# E: -39.10 eV per cell
data_AcAlO3
_chemical_formula_sum 'Ac1 Al1 O3'
_cell_length_a 3.886
_cell_length_b 3.886
_cell_length_c 3.886
_cell_angle_alpha 90.00
_cell_angle_beta 90.00
_cell_angle_gamma 90.00
_space_group_name_H-M_alt 'P m -3 m'
_space_group_IT_number 221
_space_group_name_Hall '-P 4 2 3'
loop_
_atom_site_label
_atom_site_type_symbol
_atom_site_fract_x
_atom_site_fract_y
_atom_site_fract_z
Ac1 Ac 0.000 0.000 0.000
Al1 Al 0.500 0.500 0.500
O1 O 0.000 0.500 0.500


Entry 12:
# Ac3Al2O8 (PBE, relaxed)
# Density of states at the Fermi level: 10.86 states/eV/f.u.
# ΔE_f (raw): -291.71 kJ per mole of atoms
# Total moment: 0.986 μB/f.u.
# E: -296.34 eV per cell
data_Ac3Al2O8
_chemical_formula_sum 'Ac9 Al6 O24'
_cell_length_a 5.7303
_cell_length_b 5.7303
_cell_length_c 20.0702
_cell_angle_alpha 90.00
_cell_angle_beta 90.00
_cell_angle_gamma 120.00
_space_group_name_H-M_alt 'R -3 m'
_space_group_IT_number 166
_space_group_name_Hall '-R 3 2"'
loop_
_atom_site_label
_atom_site_type_symbol
_atom_site_fract_x
_atom_site_fract_y
_atom_site_fract_z
Ac1 Ac 0.0000 0.0000 0.0000
Ac2 Ac 0.0000 0.0000 0.2040
Al1 Al 0.0000 0.0000 0.4087
O1 O 0.0000 0.0000 0.3209
O2 O 0.0058 0.5029 0.7689


Entry 13:
# AcAlO2 (PBE, relaxed)
# Density of states at the Fermi level: 1.94 states/eV/f.u.
# ΔE_f (raw): -178.92 kJ per mole of atoms
# Total moment: 0.103 μB/f.u.
# E: -75.56 eV per cell
data_AcAlO2
_chemical_formula_sum 'Ac3 Al3 O6'
_cell_length_a 3.2342
_cell_length_b 3.2342
_cell_length_c 20.5353
_cell_angle_alpha 90.00
_cell_angle_beta 90.00
_cell_angle_gamma 120.00
_space_group_name_H-M_alt 'R -3 m'
_space_group_IT_number 166
_space_group_name_Hall '-R 3 2"'
loop_
_atom_site_label
_atom_site_type_symbol
_atom_site_fract_x
_atom_site_fract_y
_atom_site_fract_z
Ac1 Ac 0.0000 0.0000 0.0000
Al1 Al 0.0000 0.0000 0.5000
O1 O 0.0000 0.0000 0.1224


Entry 14:
# AcAl4O7 (PBE, relaxed)
# Density of states at the Fermi level: 0.89 states/eV/f.u.
# ΔE_f (raw): -279.98 kJ per mole of atoms
# Total moment: 0.200 μB/f.u.
# E: -177.22 eV per cell
data_AcAl4O7
_chemical_formula_sum 'Ac2 Al8 O14'
_cell_length_a 13.235
_cell_length_b 5.323
_cell_length_c 4.955
_cell_angle_alpha 90.00
_cell_angle_beta 90.00
_cell_angle_gamma 90.00
_space_group_name_H-M_alt 'P m n 21'
_space_group_IT_number 31
loop_
_space_group_symop_operation_xyz
'x,y,z'
'-x+1/2,-y,z+1/2'
'-x,y,z'
'x+1/2,-y,z+1/2'
loop_
_atom_site_label
_atom_site_type_symbol
_atom_site_fract_x
_atom_site_fract_y
_atom_site_fract_z
Ac1 Ac 0.000 0.169 0.000
Al1 Al 0.120 0.675 0.349
Al2 Al 0.246 0.826 0.830
O1 O 0.000 0.736 0.203
O2 O 0.129 0.758 0.687
O3 O 0.152 0.369 0.239
O4 O 0.212 0.881 0.178


Entry 15:
# AcAl2O4 (PBE, relaxed)
# Density of states at the Fermi level: 1.33 states/eV/f.u.
# ΔE_f (raw): -268.55 kJ per mole of atoms
# Energy relative to the lowest polymorph listed for this composition: 0 meV per atom
# Total moment: 0.162 μB/f.u.
# E: -203.64 eV per cell
data_AcAl2O4
_chemical_formula_sum 'Ac4 Al8 O16'
_cell_length_a 5.058
_cell_length_b 9.289
_cell_length_c 8.775
_cell_angle_alpha 90.00
_cell_angle_beta 90.00
_cell_angle_gamma 90.00
_space_group_name_H-M_alt 'C c c m'
_space_group_IT_number 66
_space_group_name_Hall '-C 2 2c'
loop_
_atom_site_label
_atom_site_type_symbol
_atom_site_fract_x
_atom_site_fract_y
_atom_site_fract_z
Ac1 Ac 0.000 0.000 0.250
Al1 Al 0.003 0.289 0.000
O1 O 0.191 0.118 0.500
O2 O 0.250 0.250 0.146


Entry 16:
# Ac3AlO (PBE, relaxed)
# Density of states at the Fermi level: 2.74 states/eV/f.u.
# ΔE_f (raw): -109.64 kJ per mole of atoms
# Total moment: 0.000 μB/f.u.
# E: -26.71 eV per cell
data_Ac3AlO
_chemical_formula_sum 'Ac3 Al1 O1'
_cell_length_a 5.260
_cell_length_b 5.260
_cell_length_c 5.260
_cell_angle_alpha 90.00
_cell_angle_beta 90.00
_cell_angle_gamma 90.00
_space_group_name_H-M_alt 'P m -3 m'
_space_group_IT_number 221
_space_group_name_Hall '-P 4 2 3'
loop_
_atom_site_label
_atom_site_type_symbol
_atom_site_fract_x
_atom_site_fract_y
_atom_site_fract_z
Ac1 Ac 0.000 0.000 0.500
Al1 Al 0.500 0.500 0.500
O1 O 0.000 0.000 0.000


Entry 17:
# Ac2Al2O5 (PBE, relaxed)
# ΔE_f (raw): -283.86 kJ per mole of atoms
# Total moment: 0.000 μB/f.u.
# E: -66.97 eV per cell
data_Ac2Al2O5
_chemical_formula_sum 'Ac2 Al2 O5'
_cell_length_a 3.890
_cell_length_b 3.890
_cell_length_c 7.726
_cell_angle_alpha 90.00
_cell_angle_beta 90.00
_cell_angle_gamma 90.00
_space_group_name_H-M_alt 'P 4/m m m'
_space_group_IT_number 123
_space_group_name_Hall '-P 4 2'
loop_
_atom_site_label
_atom_site_type_symbol
_atom_site_fract_x
_atom_site_fract_y
_atom_site_fract_z
Ac1 Ac 0.000 0.000 0.000
Ac2 Ac 0.000 0.000 0.500
Al1 Al 0.500 0.500 0.249
O1 O 0.000 0.500 0.250
O2 O 0.500 0.500 0.500


Entry 18:
# AcAlO (PBE, relaxed)
# Density of states at the Fermi level: 1.79 states/eV/f.u.
# ΔE_f (raw): -167.72 kJ per mole of atoms
# Total moment: 0.000 μB/f.u.
# E: -36.05 eV per cell
data_AcAlO
_chemical_formula_sum 'Ac2 Al2 O2'
_cell_length_a 3.707
_cell_length_b 3.707
_cell_length_c 9.323
_cell_angle_alpha 90.00
_cell_angle_beta 90.00
_cell_angle_gamma 90.00
_space_group_name_H-M_alt 'P 4/n m m'
_space_group_IT_number 129
loop_
_space_group_symop_operation_xyz
'x,y,z'
'-x,-y,-z'
'-y+1/2,x,z'
'y+1/2,-x,-z'
'-x+1/2,-y+1/2,z'
'x+1/2,y+1/2,-z'
'y,-x+1/2,z'
'-y,x+1/2,-z'
'x+1/2,-y,-z'
'-x+1/2,y,z'
'-y,-x,-z'
'y,x,z'
'-x,y+1/2,-z'
'x,-y+1/2,z'
'y+1/2,x+1/2,-z'
'-y+1/2,-x+1/2,z'
loop_
_atom_site_label
_atom_site_type_symbol
_atom_site_fract_x
_atom_site_fract_y
_atom_site_fract_z
Ac1 Ac 0.250 0.250 0.167
Al1 Al 0.250 0.750 0.500
O1 O 0.250 0.250 0.897


Entry 19:
# Ac2AlO (PBE, relaxed)
# Density of states at the Fermi level: 3.93 states/eV/f.u.
# ΔE_f (raw): -119.08 kJ per mole of atoms
# Total moment: 0.000 μB/f.u.
# E: -65.56 eV per cell
data_Ac2AlO
_chemical_formula_sum 'Ac6 Al3 O3'
_cell_length_a 3.9914
_cell_length_b 3.9914
_cell_length_c 23.6312
_cell_angle_alpha 90.00
_cell_angle_beta 90.00
_cell_angle_gamma 120.00
_space_group_name_H-M_alt 'R -3 m'
_space_group_IT_number 166
_space_group_name_Hall '-R 3 2"'
loop_
_atom_site_label
_atom_site_type_symbol
_atom_site_fract_x
_atom_site_fract_y
_atom_site_fract_z
Ac1 Ac 0.0000 0.0000 0.2309
Al1 Al 0.0000 0.0000 0.0000
O1 O 0.0000 0.0000 0.5000